VASP calculation (PBE) on crystalline TaIrCl2 at its relaxed geometry.

Cell: 7.7920 7.7920 7.7920 Å, 157.74 146.58 40.52°
Site moments in Bohr magnetons follow the coordinates.
Atoms (fractional coordinates):
Cl  0.1096  0.1096  0.0000  0.03
Cl  0.3904  0.3904  0.0000  0.03
Ir  0.7500  0.2500  0.5000  0.40
Ta  0.2500  0.7500  0.5000  -0.03

Output
As for the symmetry: No. 71. The uncorrected formation energy is -0.1632 eV/atom. For the total magnetization, the calculation gives 0.5 μB/f.u. As for the excess energy over the best structure of this formula in the dataset: 403.5 meV per atom.